No. 1
ZrZn3I | PBE-GGA | relaxed

Cell lengths 5.2009, 5.2009, 5.2009 Å; angles 90.00, 90.00, 90.00 degrees
With the nearest neighbours (Å) after each atom.
Atoms (fractional coordinates):
Zn (0.0000, 0.0000, 0.5000)  2 I 2.60
Zn (0.0000, 0.5000, 0.0000)  2 I 2.60
Zn (0.5000, 0.0000, 0.0000)  2 I 2.60
I (0.0000, 0.0000, 0.0000)  6 Zn 2.60
Zr (0.5000, 0.5000, 0.5000)  12 Zn 3.68

Summary:
space-group type: Pm-3m (221)
final energy: -0.0569 hartree per atom
distance to the lowest polymorph of the same formula: 0.514 eV/atom
total moment: 0.405 μB per atom
N(E_F): 5.64 states/eV/cell

***

No. 2
BaSbAsI2 | PBE-GGA | relaxed

Cell lengths 6.7426, 6.7426, 7.2545 Å; angles 90.00, 90.00, 90.00 degrees
With the nearest neighbours (Å) after each atom.
Atoms (fractional coordinates):
Ba (0.0000, 0.0000, 0.0000)  4 I 3.37, 2 Sb 3.63
I (0.5000, 0.0000, 0.0000)  2 Ba 3.37
I (0.0000, 0.5000, 0.0000)  2 Ba 3.37
As (0.5000, 0.5000, 0.5000)  4 Sb 4.77, 8 I 4.95
Sb (0.0000, 0.0000, 0.5000)  2 Ba 3.63

Summary:
space-group type: P4/mmm (123)
final energy: -0.0929 hartree per atom
distance to the lowest polymorph of the same formula: 0.659 eV/atom
total moment: 1.084 μB per atom
N(E_F): 8.14 states/eV/cell

***

Raw formation energy per entry: 119.36, 22.32 kJ/mol of atoms